Entry 1:
DFT (PBE-GGA) results for a geometry-optimized CaMg2CdAu4 structure.

Lattice parameters (Å, degrees): 4.844 4.844 8.346 73.13 73.13 60.00
Atoms (fractional coordinates):
1 Ca 0.000 0.000 0.000
2 Mg 0.751 0.751 0.746
3 Mg 0.249 0.249 0.254
4 Cd 0.500 0.500 0.500
5 Au 0.378 0.378 0.866
6 Au 0.873 0.873 0.381
7 Au 0.127 0.127 0.619
8 Au 0.622 0.622 0.134

Properties
Formation enthalpy at 0 K = -525.3 meV/atom

Entry 2:
DFT (PBE-GGA) results for a geometry-optimized TbPm12Ge7 structure.

Lattice parameters (Å, degrees): 9.182 9.182 9.182 110.55 110.55 110.55
Atoms (fractional coordinates):
1 Tb 0.000 0.000 0.000
2 Pm 0.000 0.268 0.732
3 Pm 0.732 0.268 0.000
4 Pm 0.474 0.166 0.474
5 Pm 0.834 0.526 0.526
6 Pm 0.268 0.000 0.732
7 Pm 0.526 0.526 0.834
8 Pm 0.474 0.474 0.166
9 Pm 0.732 0.000 0.268
10 Pm 0.166 0.474 0.474
11 Pm 0.526 0.834 0.526
12 Pm 0.268 0.732 0.000
13 Pm 0.000 0.732 0.268
14 Ge 0.868 0.545 0.868
15 Ge 0.455 0.132 0.132
16 Ge 0.132 0.132 0.455
17 Ge 0.500 0.500 0.500
18 Ge 0.868 0.868 0.545
19 Ge 0.545 0.868 0.868
20 Ge 0.132 0.455 0.132

Properties
Formation enthalpy at 0 K = -481.9 meV/atom

Entry 3:
DFT (PBE-GGA) results for a geometry-optimized In2AgIr2 structure.

Lattice parameters (Å, degrees): 3.778 3.778 7.549 75.51 75.51 90.00
Atoms (fractional coordinates):
1 Ir 0.750 0.250 0.500
2 Ir 0.250 0.750 0.500
3 Ag 0.000 0.000 0.000
4 In 0.394 0.394 0.212
5 In 0.606 0.606 0.788

Properties
Formation enthalpy at 0 K = 331.4 meV/atom
Energy relative to the lowest polymorph listed for this composition = 303 meV/atom

Entry 4:
DFT (PBE-GGA) results for a geometry-optimized TlTcAsBr2 structure.

Lattice parameters (Å, degrees): 5.447 5.447 4.745 90.00 90.00 90.00
Last column: magnetic moment on the atom in μB.
Atoms (fractional coordinates):
1 As 0.000 0.000 0.500  -0.10
2 Tl 0.500 0.500 0.500  0.01
3 Tc 0.000 0.000 0.000  1.44
4 Br 0.000 0.500 0.000  0.02
5 Br 0.500 0.000 0.000  0.02

Properties
E_form (uncorrected) = 0.069 eV per formula unit
Energy relative to the lowest polymorph listed for this composition = 0 meV/atom

Entry 5:
DFT (PBE-GGA) results for a geometry-optimized Rb5CrS4 structure.

Lattice parameters (Å, degrees): 9.589 7.623 10.103 90.00 90.00 90.00
Last column: magnetic moment on the atom in μB.
Atoms (fractional coordinates):
1 Rb 0.236 0.736 0.190  0.00
2 Rb 0.764 0.736 0.190  0.00
3 Rb 0.500 0.140 0.000  0.01
4 Rb 0.236 0.736 0.810  0.00
5 Rb 0.764 0.736 0.810  0.00
6 Rb 0.264 0.264 0.690  0.00
7 Rb 0.736 0.264 0.690  0.00
8 Rb 0.000 0.860 0.500  0.01
9 Rb 0.736 0.264 0.310  0.00
10 Rb 0.264 0.264 0.310  0.00
11 Cr 0.000 0.208 0.000  2.72
12 Cr 0.500 0.792 0.500  2.72
13 S 0.000 0.050 0.198  -0.03
14 S 0.204 0.370 0.000  -0.04
15 S 0.796 0.370 0.000  -0.04
16 S 0.000 0.050 0.802  -0.03
17 S 0.500 0.950 0.698  -0.03
18 S 0.296 0.630 0.500  -0.04
19 S 0.704 0.630 0.500  -0.04
20 S 0.500 0.950 0.302  -0.03

Properties
E_form (uncorrected) = -8.994 eV per formula unit
Energy relative to the lowest polymorph listed for this composition = 0 meV/atom

Entry 6:
DFT (PBE-GGA) results for a geometry-optimized CdHgBi2Mo structure.

Lattice parameters (Å, degrees): 5.602 5.490 5.602 90.00 90.00 90.00
Last column: magnetic moment on the atom in μB.
Atoms (fractional coordinates):
1 Mo 0.000 0.500 0.000  3.45
2 Cd 0.000 0.000 0.000  0.03
3 Bi 0.000 0.000 0.500  -0.13
4 Bi 0.500 0.000 0.000  -0.19
5 Hg 0.500 0.500 0.500  0.01

Properties
Formation enthalpy at 0 K = 1204.6 meV/atom

Entry 7:
DFT (PBE-GGA) results for a geometry-optimized UTl2Sn structure.

Lattice parameters (Å, degrees): 4.947 4.605 4.605 90.00 90.00 90.00
Last column: magnetic moment on the atom in μB.
Atoms (fractional coordinates):
1 Tl 0.000 0.000 0.500  0.01
2 Tl 0.000 0.500 0.000  0.01
3 U 0.500 0.000 0.000  2.50
4 Sn 0.500 0.500 0.500  -0.03

Properties
Formation enthalpy at 0 K = 104.8 meV/atom

Entry 8:
DFT (PBE-GGA) results for a geometry-optimized Y2PdRu2 structure.

Lattice parameters (Å, degrees): 6.953 6.953 4.186 90.00 90.00 90.00
Atoms (fractional coordinates):
1 Y 0.181 0.681 0.500
2 Y 0.681 0.819 0.500
3 Y 0.819 0.319 0.500
4 Y 0.319 0.181 0.500
5 Ru 0.377 0.877 0.000
6 Ru 0.877 0.623 0.000
7 Ru 0.623 0.123 0.000
8 Ru 0.123 0.377 0.000
9 Pd 0.000 0.000 0.000
10 Pd 0.500 0.500 0.000

Properties
Formation enthalpy at 0 K = -331.2 meV/atom

Entry 9:
DFT (PBE-GGA) results for a geometry-optimized HfSn3H structure.

Lattice parameters (Å, degrees): 5.552 5.552 5.552 90.00 90.00 90.00
Last column: magnetic moment on the atom in μB.
Atoms (fractional coordinates):
1 H 0.500 0.500 0.500  0.35
2 Hf 0.000 0.000 0.000  0.05
3 Sn 0.000 0.500 0.000  0.01
4 Sn 0.000 0.000 0.500  0.00
5 Sn 0.500 0.000 0.000  0.02

Properties
Energy relative to the lowest polymorph listed for this composition = 548 meV/atom

Entry 10:
DFT (PBE-GGA) results for a geometry-optimized VInCo3 structure.

Lattice parameters (Å, degrees): 4.615 4.615 4.615 90.00 90.00 90.00
Last column: magnetic moment on the atom in μB.
Atoms (fractional coordinates):
1 In 0.000 0.000 0.000  -0.15
2 Co 0.000 0.500 0.000  1.52
3 Co 0.000 0.000 0.500  1.52
4 Co 0.500 0.000 0.000  1.52
5 V 0.500 0.500 0.500  2.37

Properties
Formation enthalpy at 0 K = 1785.7 meV/atom
Energy relative to the lowest polymorph listed for this composition = 935 meV/atom

Entry 11:
DFT (PBE-GGA) results for a geometry-optimized NaAgBr3 structure.

Lattice parameters (Å, degrees): 5.170 13.908 8.335 89.97 90.00 100.91
Atoms (fractional coordinates):
1 Na 0.264 0.808 0.345
2 Na 0.147 0.578 0.845
3 Ag 0.774 0.824 0.844
4 Ag 0.637 0.561 0.344
5 Br 0.152 0.588 0.344
6 Br 0.782 0.843 0.540
7 Br 0.630 0.544 0.649
8 Br 0.781 0.842 0.148
9 Br 0.259 0.797 0.844
10 Br 0.629 0.542 0.040

Properties
E_form (uncorrected) = -3.565 eV per formula unit
Energy relative to the lowest polymorph listed for this composition = 20 meV/atom

Entry 12:
DFT (PBE-GGA) results for a geometry-optimized Rb3AcSb2Te6 structure.

Lattice parameters (Å, degrees): 8.085 8.085 9.009 98.65 98.65 120.03
Atoms (fractional coordinates):
1 Rb 0.163 0.837 0.500
2 Rb 0.837 0.163 0.500
3 Rb 0.500 0.500 0.500
4 Ac 0.000 0.000 0.000
5 Sb 0.333 0.667 0.000
6 Sb 0.667 0.333 0.000
7 Te 0.932 0.580 0.798
8 Te 0.715 0.715 0.201
9 Te 0.068 0.420 0.202
10 Te 0.580 0.932 0.798
11 Te 0.285 0.285 0.799
12 Te 0.420 0.068 0.202

Properties
E_form (uncorrected) = -9.957 eV per formula unit